Record 1
# GGA-PBE RbCaBeSiPdSe, relaxed
data_RbCaBeSiPdSe
_symmetry_space_group_name_H-M 'P 1'
_symmetry_Int_Tables_number 1
_symmetry_space_group_name_Hall 'P 1'
_cell_length_a 10.261
_cell_length_b 4.164
_cell_length_c 7.187
_cell_angle_alpha 90.00
_cell_angle_beta 101.27
_cell_angle_gamma 90.00
loop_
_atom_site_label
_atom_site_type_symbol
_atom_site_fract_x
_atom_site_fract_y
_atom_site_fract_z
Be1 Be 0.280 0.000 0.531
Be2 Be 0.280 0.500 0.031
Pd1 Pd 0.257 0.000 0.857
Pd2 Pd 0.257 0.500 0.357
Ca1 Ca 0.983 0.000 0.447
Ca2 Ca 0.983 0.500 0.947
Si1 Si 0.250 0.000 0.188
Si2 Si 0.250 0.500 0.688
Rb1 Rb 0.601 0.000 0.341
Rb2 Rb 0.601 0.500 0.841
Se1 Se 0.834 0.000 0.739
Se2 Se 0.834 0.500 0.239
# calculated total energy: -25.4 eV per formula unit
# Fermi-level density of states: 2.264 states/eV/cell
# symmetry: No. 8
# crystal system: monoclinic
# formation energy without anion corrections: -763.2 meV per atom

Record 2
# GGA-PBE ErH4Pd4, relaxed
data_ErH4Pd4
_symmetry_space_group_name_H-M 'P 1'
_symmetry_Int_Tables_number 1
_symmetry_space_group_name_Hall 'P 1'
_cell_length_a 4.027
_cell_length_b 5.270
_cell_length_c 5.270
_cell_angle_alpha 81.68
_cell_angle_beta 67.55
_cell_angle_gamma 67.57
loop_
_atom_site_label
_atom_site_type_symbol
_atom_site_fract_x
_atom_site_fract_y
_atom_site_fract_z
Er1 Er 0.000 0.000 0.000
H1 H 0.844 0.489 0.823
H2 H 0.156 0.511 0.177
H3 H 0.333 0.824 0.511
H4 H 0.667 0.176 0.489
Pd1 Pd 0.607 0.593 0.192
Pd2 Pd 0.393 0.407 0.808
Pd3 Pd 0.200 0.193 0.407
Pd4 Pd 0.800 0.807 0.593
# calculated total energy: -42.8 eV per formula unit
# Fermi-level density of states: 1.110 states/eV/cell
# symmetry: No. 12
# crystal system: monoclinic

Record 3
# GGA-PBE As3PPd, relaxed
data_As3PPd
_symmetry_space_group_name_H-M 'P 1'
_symmetry_Int_Tables_number 1
_symmetry_space_group_name_Hall 'P 1'
_cell_length_a 4.846
_cell_length_b 4.846
_cell_length_c 4.846
_cell_angle_alpha 90.00
_cell_angle_beta 90.00
_cell_angle_gamma 90.00
loop_
_atom_site_label
_atom_site_type_symbol
_atom_site_fract_x
_atom_site_fract_y
_atom_site_fract_z
P1 P 0.500 0.500 0.500
As1 As 0.000 0.500 0.000
As2 As 0.000 0.000 0.500
As3 As 0.500 0.000 0.000
Pd1 Pd 0.000 0.000 0.000
# calculated total energy: -20.1 eV per formula unit
# Fermi-level density of states: 5.635 states/eV/cell
# symmetry: No. 221
# formation enthalpy at 0 K: 426 kJ/mol of formula units
# crystal system: cubic

Record 4
# GGA-PBE ScPt3Au, relaxed
data_ScPt3Au
_symmetry_space_group_name_H-M 'P 1'
_symmetry_Int_Tables_number 1
_symmetry_space_group_name_Hall 'P 1'
_cell_length_a 4.923
_cell_length_b 4.923
_cell_length_c 4.923
_cell_angle_alpha 90.00
_cell_angle_beta 90.00
_cell_angle_gamma 90.00
loop_
_atom_site_label
_atom_site_type_symbol
_atom_site_fract_x
_atom_site_fract_y
_atom_site_fract_z
Sc1 Sc 0.500 0.500 0.500
Au1 Au 0.000 0.000 0.000
Pt1 Pt 0.000 0.500 0.000
Pt2 Pt 0.000 0.000 0.500
Pt3 Pt 0.500 0.000 0.000
# calculated total energy: -24.0 eV per formula unit
# Fermi-level density of states: 3.038 states/eV/cell
# symmetry: No. 221
# formation enthalpy at 0 K: 363 kJ/mol of formula units
# crystal system: cubic

Record 5
# GGA-PBE NdAlGa2, relaxed
data_NdAlGa2
_symmetry_space_group_name_H-M 'P 1'
_symmetry_Int_Tables_number 1
_symmetry_space_group_name_Hall 'P 1'
_cell_length_a 4.306
_cell_length_b 4.406
_cell_length_c 4.406
_cell_angle_alpha 90.00
_cell_angle_beta 90.00
_cell_angle_gamma 90.00
loop_
_atom_site_label
_atom_site_type_symbol
_atom_site_fract_x
_atom_site_fract_y
_atom_site_fract_z
Nd1 Nd 0.500 0.000 0.000
Al1 Al 0.500 0.500 0.500
Ga1 Ga 0.000 0.000 0.500
Ga2 Ga 0.000 0.500 0.000
# calculated total energy: -16.4 eV per formula unit
# Fermi-level density of states: 1.220 states/eV/cell
# symmetry: No. 123
# formation enthalpy at 0 K: -179 kJ/mol of formula units
# crystal system: tetragonal

Record 6
# GGA-PBE HfTi2Ge4, relaxed
data_HfTi2Ge4
_symmetry_space_group_name_H-M 'P 1'
_symmetry_Int_Tables_number 1
_symmetry_space_group_name_Hall 'P 1'
_cell_length_a 4.956
_cell_length_b 4.956
_cell_length_c 7.401
_cell_angle_alpha 70.44
_cell_angle_beta 70.44
_cell_angle_gamma 90.00
loop_
_atom_site_label
_atom_site_type_symbol
_atom_site_fract_x
_atom_site_fract_y
_atom_site_fract_z
Ge1 Ge 0.204 0.204 0.592
Ge2 Ge 0.796 0.796 0.408
Ge3 Ge 0.000 0.500 0.000
Ge4 Ge 0.500 0.000 0.000
Hf1 Hf 0.000 0.000 0.000
Ti1 Ti 0.403 0.403 0.195
Ti2 Ti 0.597 0.597 0.805
# calculated total energy: -42.8 eV per formula unit
# Fermi-level density of states: 4.232 states/eV/cell
# symmetry: No. 139
# formation enthalpy at 0 K: 138 kJ/mol of formula units
# crystal system: tetragonal